Entry from Alexandria via LeMat-Bulk: crystalline NaLiMg2F6 at its relaxed geometry (PBE).

a = 5.291 Å, b = 5.291 Å, c = 5.564 Å
α = 61.60°, β = 61.60°, γ = 60.00°
Fractional coordinates of all 10 atoms:
F (0.737, 0.167, 0.740)
F (0.167, 0.357, 0.740)
F (0.249, 0.893, 0.228)
F (0.893, 0.630, 0.228)
F (0.630, 0.249, 0.228)
F (0.357, 0.737, 0.740)
Mg (0.517, 0.517, 0.450)
Mg (0.011, 0.011, 0.967)
Li (0.309, 0.309, 0.073)
Na (0.793, 0.793, 0.622)

Values from the calculation:
**SG**: R3
**E_form (uncorrected)**: -3.26 eV per atom
**Fermi-level density of states**: 0.000 states/eV per atom


Entry from Alexandria via LeMat-Bulk: crystalline Ta2CuIr at its relaxed geometry (PBE).

a = 3.374 Å, b = 3.374 Å, c = 5.595 Å
α = 90.00°, β = 90.00°, γ = 90.00°
Fractional coordinates of all 4 atoms:
Ta (0.000, 0.000, 0.499)
Ta (0.000, 0.000, 0.001)
Cu (0.500, 0.500, 0.250)
Ir (0.500, 0.500, 0.750)

Values from the calculation:
**SG**: P4/mmm
**Energy**: -9.276 eV per atom
**Fermi-level density of states**: 0.930 states/eV per atom


Entry from Alexandria via LeMat-Bulk: crystalline SmYMgTl at its relaxed geometry (PBE).

a = 5.393 Å, b = 5.393 Å, c = 5.393 Å
α = 60.00°, β = 60.00°, γ = 60.00°
Fractional coordinates of all 4 atoms:
Tl (0.000, 0.000, 0.000)
Mg (0.500, 0.500, 0.500)
Sm (0.750, 0.750, 0.750)
Y (0.250, 0.250, 0.250)

Values from the calculation:
**SG**: F-43m
**Energy**: -4.051 eV per atom
**Fermi-level density of states**: 0.843 states/eV per atom


Entry from Alexandria via LeMat-Bulk: crystalline K2MgCd6 at its relaxed geometry (PBE).

a = 3.268 Å, b = 9.352 Å, c = 9.352 Å
α = 59.98°, β = 89.98°, γ = 89.98°
Fractional coordinates of all 9 atoms:
K (0.000, 0.333, 0.333)
K (0.000, 0.667, 0.667)
Cd (0.500, 0.683, 0.317)
Cd (0.501, 0.000, 0.316)
Cd (0.499, 0.684, 0.000)
Cd (0.499, 0.000, 0.684)
Cd (0.501, 0.316, 0.000)
Cd (0.500, 0.317, 0.683)
Mg (0.000, 0.000, 0.000)

Values from the calculation:
**SG**: P6/mmm
**Energy**: -1.050 eV per atom
**Fermi-level density of states**: 0.508 states/eV per atom


Entry from Alexandria via LeMat-Bulk: crystalline LaTbCe2 at its relaxed geometry (PBE).

a = 3.484 Å, b = 3.484 Å, c = 10.170 Å
α = 90.00°, β = 90.00°, γ = 90.00°
Last column: magnetic moment on the atom in μB.
Fractional coordinates of all 4 atoms:
La (0.500, 0.500, 0.500)  0.02
Ce (0.000, 0.000, 0.250)  0.47
Ce (0.000, 0.000, 0.750)  0.47
Tb (0.500, 0.500, 0.000)  0.03

Values from the calculation:
**SG**: P4/mmm
**Fermi-level density of states**: 2.728 states/eV per atom
**Distance to the lowest polymorph of the same formula**: 2 meV per atom


Entry from Alexandria via LeMat-Bulk: crystalline ThCrC2 at its relaxed geometry (PBE).

a = 5.459 Å, b = 6.226 Å, c = 7.367 Å
α = 90.00°, β = 90.00°, γ = 116.01°
Fractional coordinates of all 16 atoms:
C (0.613, 0.227, 0.406)
C (0.887, 0.773, 0.906)
C (0.403, 0.306, 0.750)
C (0.113, 0.227, 0.094)
C (0.903, 0.306, 0.750)
C (0.387, 0.773, 0.594)
C (0.097, 0.694, 0.250)
C (0.597, 0.694, 0.250)
Th (0.329, 0.658, 0.923)
Th (0.829, 0.658, 0.577)
Th (0.671, 0.342, 0.077)
Th (0.171, 0.342, 0.423)
Cr (0.940, 0.879, 0.149)
Cr (0.440, 0.879, 0.351)
Cr (0.560, 0.121, 0.649)
Cr (0.060, 0.121, 0.851)

Values from the calculation:
**SG**: Cmce
**Energy**: -9.005 eV per atom
**Fermi-level density of states**: 0.616 states/eV per atom


Entry from Alexandria via LeMat-Bulk: crystalline Th8Co2Ru at its relaxed geometry (PBE).

a = 6.135 Å, b = 7.691 Å, c = 7.691 Å
α = 118.77°, β = 99.45°, γ = 99.45°
Fractional coordinates of all 11 atoms:
Th (0.969, 0.186, 0.767)
Th (0.798, 0.647, 0.647)
Th (0.586, 0.108, 0.366)
Th (0.158, 0.357, 0.357)
Th (0.586, 0.366, 0.108)
Th (0.361, 0.899, 0.642)
Th (0.361, 0.642, 0.899)
Th (0.969, 0.767, 0.186)
Co (0.508, 0.321, 0.736)
Co (0.508, 0.736, 0.321)
Ru (0.197, 0.005, 0.005)

Values from the calculation:
**SG**: Cm
**Energy**: -7.607 eV per atom
**Fermi-level density of states**: 1.195 states/eV per atom


Entry from Alexandria via LeMat-Bulk: crystalline Fe2ReOs at its relaxed geometry (PBE).

a = 3.764 Å, b = 3.763 Å, c = 3.640 Å
α = 90.00°, β = 90.00°, γ = 90.00°
Last column: magnetic moment on the atom in μB.
Fractional coordinates of all 4 atoms:
Fe (0.000, 0.000, 0.000)  1.74
Fe (0.500, 0.500, 0.000)  -1.74
Os (0.500, 0.000, 0.500)  0.00
Re (0.000, 0.500, 0.500)  0.00

Values from the calculation:
**SG**: P4/mmm
**Energy**: -10.089 eV per atom
**Fermi-level density of states**: 0.970 states/eV per atom